This record from Alexandria via LeMat-Bulk describes a relaxed structure of BaY2ScO5. The functional is PBE.

a b c (Å): 3.9672 5.8877 11.4623
angles (deg): 90.00 90.00 90.00
Space group Immm (No. 71)
One atom of each set of equivalent atoms:
Ba  0.0000  0.0000  0.0000
Y  0.0000  0.5000  0.2149
Sc  0.0000  0.0000  0.5000
O  0.0000  0.2348  0.3553
O  0.0000  0.5000  0.0000

- volume (Å³/atom) = 14.9
- VASP energy (hartree per atom) = -0.3034
- DOS at the Fermi energy (states/eV per atom) = 0.25

=====

This record from Alexandria via LeMat-Bulk describes a relaxed structure of Ba2YScO5. The functional is PBE.

a b c (Å): 3.6410 14.1047 12.1428
angles (deg): 90.00 90.00 90.00
Space group Cmc2_1 (No. 36)
One atom of each set of equivalent atoms:
Ba  0.0000  0.0918  0.0000
Ba  0.0000  0.1516  0.6315
Y  0.0000  0.2150  0.3500
Sc  0.0000  0.4727  0.7739
O  0.0000  0.0498  0.3483
O  0.0000  0.2757  0.9754
O  0.0000  0.3192  0.7380
O  0.0000  0.3752  0.3214
O  0.0000  0.4918  0.1167

- volume (Å³/atom) = 17.3
- VASP energy (hartree per atom) = -0.2820
- DOS at the Fermi energy (states/eV per atom) = 0.00

=====

This record from Alexandria via LeMat-Bulk describes a relaxed structure of Ba2ScZn2O6. The functional is PBE.

a b c (Å): 6.0132 6.0132 16.8374
angles (deg): 90.00 90.00 120.00
Space group R-3m (No. 166, hexagonal axes)
One atom of each set of equivalent atoms:
Ba  0.0000  0.0000  0.2160
Sc  0.0000  0.0000  0.0000
Zn  0.0000  0.0000  0.4176
O  0.0242  0.5121  0.7490

- volume (Å³/atom) = 16.0
- VASP energy (hartree per atom) = -0.2211
- DOS at the Fermi energy (states/eV per atom) = 0.68

=====

This record from Alexandria via LeMat-Bulk describes a relaxed structure of Ba3Zr2ScO9. The functional is PBE.

a b c (Å): 6.0054 6.0054 7.3618
angles (deg): 90.00 90.00 120.00
Space group P-3m1 (No. 164)
One atom of each set of equivalent atoms:
Ba  0.0000  0.0000  0.0000
Ba  0.3333  0.6667  0.6633
Zr  0.3333  0.6667  0.1704
Sc  0.0000  0.0000  0.5000
O  0.0000  0.5000  0.0000
O  0.1669  0.3337  0.3330

- volume (Å³/atom) = 15.3
- VASP energy (hartree per atom) = -0.2940
- DOS at the Fermi energy (states/eV per atom) = 0.71

=====

This record from Alexandria via LeMat-Bulk describes a relaxed structure of BaSe2O. The functional is PBE.

a b c (Å): 6.7080 6.7080 9.3284
angles (deg): 90.00 90.00 90.00
Space group I-42d (No. 122)
One atom of each set of equivalent atoms:
Ba  0.0000  0.0000  0.0000
Se  0.0430  0.2500  0.6250
O  0.0000  0.0000  0.5000

- volume (Å³/atom) = 26.2
- VASP energy (hartree per atom) = -0.1549
- DOS at the Fermi energy (states/eV per atom) = 0.00

=====

This record from Alexandria via LeMat-Bulk describes a relaxed structure of BaSe2O6. The functional is PBE.

a b c (Å): 4.3832 7.8280 10.0439
angles (deg): 112.45 94.65 94.80
Space group P-1 (No. 2)
One atom of each set of equivalent atoms:
Ba  0.2215  0.3949  0.2768
Se  0.2410  0.9910  0.5774
Se  0.4824  0.8404  0.0813
O  0.1048  0.7263  0.4919
O  0.2595  0.0131  0.1217
O  0.2725  0.6515  0.5809
O  0.3056  0.6697  0.9261
O  0.3598  0.7424  0.2330
O  0.3719  0.2751  0.6835

- volume (Å³/atom) = 17.5
- distance to the lowest polymorph of the same formula (meV/atom) = 0
- VASP energy (hartree per atom) = -0.1895
- DOS at the Fermi energy (states/eV per atom) = 0.09

=====

This record from Alexandria via LeMat-Bulk describes a relaxed structure of Ba2SeO. The functional is PBE.

a b c (Å): 7.5263 7.5263 7.5263
angles (deg): 90.00 90.00 90.00
Space group Fm-3m (No. 225)
One atom of each set of equivalent atoms:
Ba  0.2500  0.2500  0.2500
Se  0.0000  0.0000  0.0000
O  0.0000  0.0000  0.5000

- volume (Å³/atom) = 26.6
- distance to the lowest polymorph of the same formula (meV/atom) = 471
- VASP energy (hartree per atom) = -0.1770
- DOS at the Fermi energy (states/eV per atom) = 0.00

=====

This record from Alexandria via LeMat-Bulk describes a relaxed structure of Ba4Se2O. The functional is PBE.

a b c (Å): 5.2958 5.2958 17.0892
angles (deg): 90.00 90.00 90.00
Space group I4/mmm (No. 139)
One atom of each set of equivalent atoms:
Ba  0.0000  0.0000  0.1808
Ba  0.0000  0.5000  0.0000
Se  0.0000  0.0000  0.3733
O  0.0000  0.0000  0.0000

- volume (Å³/atom) = 34.2
- VASP energy (hartree per atom) = -0.1636
- DOS at the Fermi energy (states/eV per atom) = 0.88